No. 1
Crystalline Sm4In2Ru at its relaxed geometry, computed with PBE.

a b c (Å): 4.855 6.211 7.542
angles (deg): 80.38 71.22 66.99
Fractional coordinates of all 7 atoms:
Sm  0.072  0.214  0.641
Sm  0.928  0.786  0.359
Sm  0.335  0.283  0.047
Sm  0.665  0.717  0.953
In  0.340  0.646  0.675
In  0.660  0.354  0.325
Ru  0.000  0.000  0.000

Properties
M_tot = 0.00 μB per atom
symmetry = No. 12
V = 198.0 Å³/cell

***

No. 2
Crystalline Pu2Sn at its relaxed geometry, computed with PBE.

a b c (Å): 4.082 4.082 5.573
angles (deg): 111.49 111.49 89.99
Each line ends with the local moment (μB).
Fractional coordinates of all 3 atoms:
Sn  0.500  0.500  0.000  -0.15
Pu  0.160  0.160  0.319  5.63
Pu  0.840  0.840  0.681  5.63

Properties
M_tot = 3.98 μB per atom
symmetry = No. 139
V = 79.4 Å³/cell

***

No. 3
Crystalline ZrAl2InP at its relaxed geometry, computed with PBE.

a b c (Å): 5.347 4.990 5.347
angles (deg): 90.00 90.00 90.00
Fractional coordinates of all 5 atoms:
P  0.000  0.500  0.000
Al  0.000  0.000  0.500
Al  0.500  0.000  0.000
Zr  0.000  0.000  0.000
In  0.500  0.500  0.500

Properties
M_tot = 0.00 μB per atom
symmetry = No. 123
V = 142.7 Å³/cell

***

No. 4
Crystalline Be2TlPb at its relaxed geometry, computed with PBE.

a b c (Å): 3.360 4.168 6.111
angles (deg): 89.12 90.00 90.00
Fractional coordinates of all 4 atoms:
Pb  0.500  0.250  0.250
Be  0.000  0.753  0.074
Be  0.000  0.747  0.426
Tl  0.500  0.750  0.750

Properties
M_tot = 0.00 μB per atom
symmetry = No. 10
V = 85.6 Å³/cell

***

No. 5
Crystalline Rb3NaCe3Se8 at its relaxed geometry, computed with PBE.

a b c (Å): 8.622 8.622 9.383
angles (deg): 117.37 90.00 120.00
Fractional coordinates of all 15 atoms:
Rb  0.000  0.000  0.000
Rb  0.000  0.500  0.000
Rb  0.500  0.500  0.000
Na  0.000  0.000  0.500
Ce  0.500  0.000  0.500
Ce  0.500  0.500  0.500
Ce  0.000  0.500  0.500
Se  0.267  0.534  0.302
Se  0.733  0.466  0.698
Se  0.758  0.516  0.308
Se  0.242  0.484  0.692
Se  0.758  0.050  0.308
Se  0.242  0.950  0.692
Se  0.292  0.050  0.308
Se  0.708  0.950  0.692

Properties
M_tot = 0.00 μB per atom
symmetry = No. 166
V = 511.9 Å³/cell
raw formation energy = -1.4879 eV/atom

***

No. 6
Crystalline V2Ir2Br at its relaxed geometry, computed with PBE.

a b c (Å): 7.482 7.482 2.859
angles (deg): 90.00 90.00 90.00
Fractional coordinates of all 10 atoms:
Ir  0.133  0.633  0.500
Ir  0.633  0.867  0.500
Ir  0.867  0.367  0.500
Ir  0.367  0.133  0.500
Br  0.000  0.000  0.000
Br  0.500  0.500  0.000
V  0.345  0.845  0.000
V  0.845  0.655  0.000
V  0.655  0.155  0.000
V  0.155  0.345  0.000

Properties
M_tot = 0.00 μB per atom
symmetry = No. 127
V = 160.0 Å³/cell
raw formation energy = 0.0341 eV/atom

***

No. 7
Crystalline ZrAg2Au at its relaxed geometry, computed with PBE.

a b c (Å): 5.101 5.101 5.101
angles (deg): 130.53 130.53 72.55
Fractional coordinates of all 4 atoms:
Ag  0.000  0.000  0.000
Ag  0.500  0.500  0.000
Au  0.250  0.750  0.500
Zr  0.750  0.250  0.500

Properties
M_tot = 0.00 μB per atom
symmetry = No. 139
V = 74.9 Å³/cell

***

No. 8
Crystalline OsPdO3 at its relaxed geometry, computed with PBE.

a b c (Å): 3.850 3.850 3.850
angles (deg): 90.00 90.00 90.00
Fractional coordinates of all 5 atoms:
Os  0.000  0.000  0.000
O  0.000  0.500  0.000
O  0.000  0.000  0.500
O  0.500  0.000  0.000
Pd  0.500  0.500  0.500

Properties
M_tot = 0.00 μB per atom
symmetry = No. 221
V = 57.1 Å³/cell
raw formation energy = -0.2608 eV/atom

***

| no. | total DFT energy (no corrections) (eV per cell) |
| --- | --- |
| 1 | -36.19 |
| 2 | -33.35 |
| 3 | -21.87 |
| 4 | -10.93 |
| 5 | -72.22 |
| 6 | -74.92 |
| 7 | -18.07 |
| 8 | -32.60 |